First-principles (PBE-GGA) data for an optimized crystal structure of SbPb3S, as listed in Alexandria.

Properties
crystal system: cubic
calculated volume: 168.8 Å³/f.u.
formation energy from raw total energies: 0.11 eV per atom
mass density: 7.63 g cm⁻³
magnetic moment: 0.00 μB/f.u.

abc: 5.5267 5.5267 5.5267
angles: 90.00 90.00 90.00
Space group Pm-3m (No. 221)
Symmetry-distinct sites (fractional):
Sb: 0.0000 0.0000 0.0000 [1 per cell]
Pb: 0.0000 0.5000 0.5000 [3 per cell]
S: 0.5000 0.5000 0.5000 [1 per cell]


First-principles (PBE-GGA) data for an optimized crystal structure of LiCdSn2Cl6, as listed in Alexandria.

Properties
crystal system: triclinic
calculated volume: 281.9 Å³/f.u.
formation energy from raw total energies: -1.02 eV per atom
mass density: 3.35 g cm⁻³
magnetic moment: 0.00 μB/f.u.

abc: 7.1218 7.1465 7.3092
angles: 93.52 117.71 115.20
Space group P1 (No. 1)
Symmetry-distinct sites (fractional):
Li: 0.0000 0.0000 0.0000 [1 per cell]
Cd: 0.7381 0.3828 0.0998 [1 per cell]
Sn: 0.3313 0.1876 0.6161 [1 per cell]
Sn: 0.3631 0.7122 0.0513 [1 per cell]
Cl: 0.0662 0.2208 0.7503 [1 per cell]
Cl: 0.1378 0.3515 0.2858 [1 per cell]
Cl: 0.4826 0.1187 0.2501 [1 per cell]
Cl: 0.5244 0.8748 0.8081 [1 per cell]
Cl: 0.9387 0.6666 0.7955 [1 per cell]
Cl: 0.9524 0.8021 0.2984 [1 per cell]